[1]
Density functional theory data (GGA-PBE) for a relaxed BaTl2ZnCo crystal.

Space group: P4/mmm
Formation energy from the elements: -0.07 eV/atom

Unit cell a=5.127 b=5.127 c=4.929 alpha=90.00 beta=90.00 gamma=90.00
Fractional positions:
Ba1 0.000 0.000 0.000
Tl1 0.000 0.500 0.500
Tl2 0.500 0.000 0.500
Zn1 0.500 0.500 0.000
Co1 0.500 0.500 0.500

***

[2]
Density functional theory data (GGA-PBE) for a relaxed Th2AgSn crystal.

Space group: R-3m
Formation energy from the elements: 0.16 eV/atom

Unit cell a=11.767 b=11.767 c=11.767 alpha=16.74 beta=16.74 gamma=16.74
Fractional positions:
Th1 0.093 0.093 0.093
Th2 0.907 0.907 0.907
Ag1 0.500 0.500 0.500
Sn1 0.000 0.000 0.000

***

[3]
Density functional theory data (GGA-PBE) for a relaxed CuP2Ru crystal.

Space group: Cm
Formation energy from the elements: -0.15 eV/atom
Relative energy among the computed polymorphs: 0.0000 eV/atom

Unit cell a=4.042 b=4.042 c=5.275 alpha=90.44 beta=90.44 gamma=43.86
Fractional positions:
Cu1 0.000 0.000 0.000
P1 0.282 0.282 0.183
P2 0.581 0.581 0.670
Ru1 0.862 0.862 0.504

***

[4]
Density functional theory data (GGA-PBE) for a relaxed Na2Sr5I12 crystal.

Space group: C2/m
Calculated total energy: -59.09 eV for the cell shown

Unit cell a=9.805 b=9.805 c=11.735 alpha=108.83 beta=108.83 gamma=56.23
Fractional positions:
Na1 0.245 0.755 0.000
Na2 0.755 0.245 0.000
Sr1 0.000 0.000 0.500
Sr2 0.275 0.275 0.036
Sr3 0.300 0.300 0.625
Sr4 0.700 0.700 0.375
Sr5 0.725 0.725 0.964
I1 0.068 0.548 0.852
I2 0.072 0.072 0.829
I3 0.099 0.628 0.493
I4 0.372 0.901 0.507
I5 0.452 0.932 0.148
I6 0.480 0.480 0.182
I7 0.520 0.520 0.818
I8 0.548 0.068 0.852
I9 0.628 0.099 0.493
I10 0.901 0.372 0.507
I11 0.928 0.928 0.171
I12 0.932 0.452 0.148

***

[5]
Density functional theory data (GGA-PBE) for a relaxed HfMgZr2 crystal.

Space group: P4/mmm
Formation energy from the elements: 0.05 eV/atom

Unit cell a=4.476 b=4.476 c=4.439 alpha=90.00 beta=90.00 gamma=90.00
Fractional positions:
Hf1 0.000 0.000 0.000
Mg1 0.500 0.500 0.000
Zr1 0.000 0.500 0.500
Zr2 0.500 0.000 0.500

***

[6]
Density functional theory data (GGA-PBE) for a relaxed Ce4Sb3Br crystal.

Space group: R-3m
Calculated total energy: -46.35 eV for the cell shown

Unit cell a=14.397 b=14.397 c=14.397 alpha=17.97 beta=17.97 gamma=17.97
Fractional positions:
Ce1 0.124 0.124 0.124
Ce2 0.372 0.372 0.372
Ce3 0.628 0.628 0.628
Ce4 0.876 0.876 0.876
Sb1 0.253 0.253 0.253
Sb2 0.500 0.500 0.500
Sb3 0.747 0.747 0.747
Br1 0.000 0.000 0.000

***

[7]
Density functional theory data (GGA-PBE) for a relaxed Sr2ZrFe crystal.

Space group: Fm-3m
Formation energy from the elements: 1.21 eV/atom
Relative energy among the computed polymorphs: 0.9151 eV/atom

Unit cell a=5.390 b=5.390 c=5.390 alpha=60.00 beta=60.00 gamma=60.00
Fractional positions:
Sr1 0.250 0.250 0.250
Sr2 0.750 0.750 0.750
Zr1 0.000 0.000 0.000
Fe1 0.500 0.500 0.500

***

[8]
Density functional theory data (GGA-PBE) for a relaxed EuInGaAg crystal.

Space group: F-43m
Formation energy from the elements: -0.33 eV/atom

Unit cell a=5.065 b=5.065 c=5.065 alpha=60.00 beta=60.00 gamma=60.00
Fractional positions:
Eu1 0.000 0.000 0.000
In1 0.500 0.500 0.500
Ga1 0.750 0.750 0.750
Ag1 0.250 0.250 0.250

***

[9]
Density functional theory data (GGA-PBE) for a relaxed CsSe2F crystal.

Space group: I-42d
Relative energy among the computed polymorphs: 0.0000 eV/atom

Unit cell a=16.802 b=16.802 c=16.802 alpha=165.90 beta=165.90 gamma=19.99
Fractional positions:
Cs1 0.000 0.000 0.000
Cs2 0.750 0.250 0.500
Se1 0.225 0.125 0.600
Se2 0.375 0.775 0.900
Se3 0.525 0.625 0.400
Se4 0.875 0.475 0.100
F1 0.250 0.750 0.500
F2 0.500 0.500 0.000

***

[10]
Density functional theory data (GGA-PBE) for a relaxed Er2ZrIn3 crystal.

Space group: P4/mmm
Formation energy from the elements: -0.37 eV/atom
Relative energy among the computed polymorphs: 0.0000 eV/atom

Unit cell a=3.317 b=3.317 c=13.387 alpha=90.00 beta=90.00 gamma=90.00
Fractional positions:
Er1 0.000 0.000 0.173
Er2 0.000 0.000 0.827
Zr1 0.000 0.000 0.500
In1 0.500 0.500 0.000
In2 0.500 0.500 0.342
In3 0.500 0.500 0.658

***

[11]
Density functional theory data (GGA-PBE) for a relaxed InAg2Cl crystal.

Space group: Pmm2
Calculated total energy: -10.72 eV for the cell shown

Unit cell a=3.221 b=3.361 c=7.921 alpha=90.00 beta=90.00 gamma=90.00
Fractional positions:
In1 0.000 0.000 0.000
Ag1 0.000 0.000 0.483
Ag2 0.500 0.500 0.259
Cl1 0.500 0.500 0.708

***

[12]
Density functional theory data (GGA-PBE) for a relaxed Sc4ZnPt crystal.

Space group: F-43m
Formation energy from the elements: 0.15 eV/atom
Relative energy among the computed polymorphs: 0.5575 eV/atom

Unit cell a=5.547 b=5.547 c=5.547 alpha=60.00 beta=60.00 gamma=60.00
Fractional positions:
Sc1 0.376 0.376 0.376
Sc2 0.376 0.376 0.872
Sc3 0.376 0.872 0.376
Sc4 0.872 0.376 0.376
Zn1 0.000 0.000 0.000
Pt1 0.750 0.750 0.750

***

[13]
Density functional theory data (GGA-PBE) for a relaxed PPbAuC2 crystal.

Space group: P4/mmm
Formation energy from the elements: 2.79 eV/atom

Unit cell a=4.335 b=4.335 c=5.590 alpha=90.00 beta=90.00 gamma=90.00
Fractional positions:
P1 0.000 0.000 0.000
Pb1 0.000 0.000 0.500
Au1 0.500 0.500 0.000
C1 0.000 0.500 0.500
C2 0.500 0.000 0.500

***

[14]
Density functional theory data (GGA-PBE) for a relaxed NaHg2MoPd crystal.

Space group: P4/mmm
Formation energy from the elements: 0.69 eV/atom

Unit cell a=5.288 b=5.288 c=5.068 alpha=90.00 beta=90.00 gamma=90.00
Fractional positions:
Na1 0.000 0.000 0.000
Hg1 0.000 0.500 0.500
Hg2 0.500 0.000 0.500
Mo1 0.500 0.500 0.000
Pd1 0.500 0.500 0.500

***

[15]
Density functional theory data (GGA-PBE) for a relaxed CsBiSeBr2 crystal.

Space group: P4/mmm
Relative energy among the computed polymorphs: 1.3093 eV/atom

Unit cell a=6.343 b=6.343 c=5.765 alpha=90.00 beta=90.00 gamma=90.00
Fractional positions:
Cs1 0.000 0.000 0.000
Bi1 0.500 0.500 0.500
Se1 0.000 0.000 0.500
Br1 0.000 0.500 0.000
Br2 0.500 0.000 0.000

***

[16]
Density functional theory data (GGA-PBE) for a relaxed PmNdPuSn crystal.

Space group: F-43m
Formation energy from the elements: -0.10 eV/atom

Unit cell a=5.500 b=5.500 c=5.500 alpha=60.00 beta=60.00 gamma=60.00
Fractional positions:
Pm1 0.000 0.000 0.000
Nd1 0.750 0.750 0.750
Pu1 0.500 0.500 0.500
Sn1 0.250 0.250 0.250

***

[17]
Density functional theory data (GGA-PBE) for a relaxed LiLaY2 crystal.

Space group: Immm
Formation energy from the elements: 0.07 eV/atom
Relative energy among the computed polymorphs: 0.0042 eV/atom

Unit cell a=6.642 b=6.642 c=6.642 alpha=146.77 beta=129.53 gamma=61.77
Fractional positions:
Li1 0.000 0.000 0.000
La1 0.500 0.500 0.000
Y1 0.224 0.724 0.500
Y2 0.776 0.276 0.500

***

[18]
Density functional theory data (GGA-PBE) for a relaxed AsSe2NCl crystal.

Space group: P4/mmm
Relative energy among the computed polymorphs: 0.0000 eV/atom

Unit cell a=4.367 b=4.367 c=4.729 alpha=90.00 beta=90.00 gamma=90.00
Fractional positions:
As1 0.000 0.000 0.000
Se1 0.000 0.500 0.500
Se2 0.500 0.000 0.500
N1 0.000 0.000 0.500
Cl1 0.500 0.500 0.000

***

[19]
Density functional theory data (GGA-PBE) for a relaxed Sm3Ga8Pd3 crystal.

Space group: Immm
Formation energy from the elements: -0.72 eV/atom
Relative energy among the computed polymorphs: 0.0000 eV/atom

Unit cell a=8.257 b=8.257 c=8.257 alpha=149.83 beta=107.05 gamma=80.92
Fractional positions:
Sm1 0.000 0.000 0.000
Sm2 0.315 0.315 0.000
Sm3 0.685 0.685 0.000
Ga1 0.034 0.665 0.369
Ga2 0.152 0.871 0.281
Ga3 0.296 0.665 0.631
Ga4 0.410 0.129 0.281
Ga5 0.590 0.871 0.719
Ga6 0.704 0.335 0.369
Ga7 0.848 0.129 0.719
Ga8 0.966 0.335 0.631
Pd1 0.286 0.500 0.786
Pd2 0.500 0.000 0.500
Pd3 0.714 0.500 0.214

***

[20]
Density functional theory data (GGA-PBE) for a relaxed Ce2PaCuS5 crystal.

Space group: Cmc2_1
Calculated total energy: -121.15 eV for the cell shown

Unit cell a=8.450 b=8.450 c=12.033 alpha=90.00 beta=90.00 gamma=153.55
Fractional positions:
Ce1 0.117 0.883 0.500
Ce2 0.118 0.882 0.850
Ce3 0.882 0.118 0.350
Ce4 0.883 0.117 0.000
Pa1 0.184 0.816 0.181
Pa2 0.816 0.184 0.681
Cu1 0.448 0.552 0.578
Cu2 0.552 0.448 0.078
S1 0.022 0.978 0.173
S2 0.304 0.696 0.842
S3 0.312 0.688 0.517
S4 0.349 0.651 0.175
S5 0.495 0.505 0.908
S6 0.505 0.495 0.408
S7 0.651 0.349 0.675
S8 0.688 0.312 0.017
S9 0.696 0.304 0.342
S10 0.978 0.022 0.673

***

[21]
Density functional theory data (GGA-PBE) for a relaxed SrMo2W crystal.

Space group: Pm
Formation energy from the elements: 0.75 eV/atom
Relative energy among the computed polymorphs: 0.0514 eV/atom

Unit cell a=2.997 b=4.223 c=7.121 alpha=90.00 beta=101.52 gamma=90.00
Fractional positions:
Sr1 0.000 0.000 0.000
Mo1 0.020 0.000 0.499
Mo2 0.440 0.500 0.660
W1 0.591 0.500 0.339

***

[22]
Density functional theory data (GGA-PBE) for a relaxed SiSb2Cl crystal.

Space group: I-4m2
Relative energy among the computed polymorphs: 0.2116 eV/atom

Unit cell a=5.074 b=5.074 c=5.074 alpha=119.79 beta=119.79 gamma=90.36
Fractional positions:
Si1 0.000 0.000 0.000
Sb1 0.250 0.750 0.500
Sb2 0.500 0.500 0.000
Cl1 0.750 0.250 0.500

***

[23]
Density functional theory data (GGA-PBE) for a relaxed Pm4Bi2B crystal.

Space group: I4/mmm
Formation energy from the elements: -0.56 eV/atom

Unit cell a=9.027 b=9.027 c=9.027 alpha=147.28 beta=147.28 gamma=46.95
Fractional positions:
Pm1 0.000 0.500 0.500
Pm2 0.161 0.161 0.000
Pm3 0.500 0.000 0.500
Pm4 0.839 0.839 0.000
Bi1 0.359 0.359 0.000
Bi2 0.641 0.641 0.000
B1 0.000 0.000 0.000

***

[24]
Density functional theory data (GGA-PBE) for a relaxed HfTiAl3 crystal.

Space group: Pm-3m
Formation energy from the elements: 1.14 eV/atom
Relative energy among the computed polymorphs: 1.1443 eV/atom

Unit cell a=5.014 b=5.014 c=5.014 alpha=90.00 beta=90.00 gamma=90.00
Fractional positions:
Hf1 0.000 0.000 0.000
Ti1 0.500 0.500 0.500
Al1 0.000 0.000 0.500
Al2 0.000 0.500 0.000
Al3 0.500 0.000 0.000

***

[25]
Density functional theory data (GGA-PBE) for a relaxed ZrB4Mo2 crystal.

Space group: Immm
Formation energy from the elements: -0.65 eV/atom

Unit cell a=7.352 b=7.352 c=7.352 alpha=155.31 beta=153.99 gamma=36.17
Fractional positions:
Zr1 0.000 0.000 0.000
B1 0.363 0.863 0.500
B2 0.431 0.431 0.000
B3 0.569 0.569 0.000
B4 0.637 0.137 0.500
Mo1 0.188 0.688 0.500
Mo2 0.812 0.312 0.500

***

[26]
Density functional theory data (GGA-PBE) for a relaxed AgSnPb3 crystal.

Space group: Pm-3m
Formation energy from the elements: 0.38 eV/atom
Relative energy among the computed polymorphs: 0.3164 eV/atom

Unit cell a=5.510 b=5.510 c=5.510 alpha=90.00 beta=90.00 gamma=90.00
Fractional positions:
Ag1 0.000 0.000 0.000
Sn1 0.500 0.500 0.500
Pb1 0.000 0.000 0.500
Pb2 0.000 0.500 0.000
Pb3 0.500 0.000 0.000

***

[27]
Density functional theory data (GGA-PBE) for a relaxed BeV2Ga crystal.

Space group: I-42d
Formation energy from the elements: 0.28 eV/atom
Relative energy among the computed polymorphs: 0.4382 eV/atom

Unit cell a=5.247 b=5.247 c=5.247 alpha=102.82 beta=102.82 gamma=123.79
Fractional positions:
Be1 0.000 0.000 0.000
Be2 0.750 0.250 0.500
V1 0.109 0.125 0.484
V2 0.375 0.891 0.016
V3 0.641 0.625 0.516
V4 0.875 0.359 0.984
Ga1 0.250 0.750 0.500
Ga2 0.500 0.500 0.000